No. 1
Y2Ir3: relaxed, PBEsol.

Output
**ΔH_f (0 K)**: -0.67 eV per atom
**Magnetization**: 0.000 μB/cell

a b c (Å): 8.306 5.382 9.150
angles (deg): 63.67 35.50 80.84
Fractional coordinates of all 10 atoms:
Y: 0.124 0.876 0.284
Y: 0.534 0.966 0.374
Y: 0.876 0.124 0.716
Y: 0.966 0.534 0.126
Ir: 0.229 0.229 0.771
Ir: 0.438 0.541 0.312
Ir: 0.479 0.479 0.021
Ir: 0.540 0.938 0.709
Ir: 0.541 0.438 0.710
Ir: 0.938 0.540 0.812



No. 2
FeHgSb2: relaxed, PBEsol.

Output
**ΔE_f (raw)**: 2.03 eV/f.u.
**Magnetization**: 2.627 μB/cell

a b c (Å): 4.727 4.727 3.760
angles (deg): 90.00 90.00 90.00
Fractional coordinates of all 4 atoms:
Fe: 0.000 0.000 0.000
Hg: 0.500 0.500 0.000
Sb: 0.000 0.500 0.500
Sb: 0.500 0.000 0.500



No. 3
Ni2PbW: relaxed, PBEsol.

Output
**ΔH_f (0 K)**: 0.44 eV per atom
**Magnetization**: 0.000 μB/cell

a b c (Å): 4.451 4.451 4.951
angles (deg): 100.75 100.75 39.13
Fractional coordinates of all 4 atoms:
Ni: 0.000 0.000 0.000
Ni: 0.740 0.740 0.229
Pb: 0.247 0.247 0.751
W: 0.479 0.479 0.399



No. 4
Y2CdHg2: relaxed, PBEsol.

Output
**ΔH_f (0 K)**: -0.52 eV per atom
**Magnetization**: 0.000 μB/cell

a b c (Å): 7.848 7.848 3.957
angles (deg): 90.00 90.00 90.00
Fractional coordinates of all 10 atoms:
Y: 0.169 0.331 0.000
Y: 0.331 0.831 0.000
Y: 0.669 0.169 0.000
Y: 0.831 0.669 0.000
Cd: 0.000 0.000 0.500
Cd: 0.500 0.500 0.500
Hg: 0.132 0.632 0.500
Hg: 0.368 0.132 0.500
Hg: 0.632 0.868 0.500
Hg: 0.868 0.368 0.500



No. 5
KNaMg2Tl: relaxed, PBEsol.

Output
**ΔH_f (0 K)**: 0.39 eV per atom
**Magnetization**: 0.000 μB/cell

a b c (Å): 5.673 5.673 5.686
angles (deg): 90.00 90.00 90.00
Fractional coordinates of all 5 atoms:
K: 0.000 0.000 0.000
Na: 0.500 0.500 0.500
Mg: 0.000 0.500 0.500
Mg: 0.500 0.000 0.500
Tl: 0.500 0.500 0.000



No. 6
Lu2MgTc: relaxed, PBEsol.

Output
**ΔH_f (0 K)**: -0.03 eV per atom
**Magnetization**: 0.000 μB/cell

a b c (Å): 4.866 4.866 4.866
angles (deg): 60.00 60.00 60.00
Fractional coordinates of all 4 atoms:
Lu: 0.250 0.250 0.250
Lu: 0.750 0.750 0.750
Mg: 0.000 0.000 0.000
Tc: 0.500 0.500 0.500



No. 7
CaBeSi: relaxed, PBEsol.

Output
**ΔE_f (raw)**: -1.02 eV/f.u.
**Magnetization**: 0.000 μB/cell

a b c (Å): 3.884 3.884 4.265
angles (deg): 90.00 90.00 120.00
Fractional coordinates of all 3 atoms:
Ca: 0.000 0.000 0.000
Be: 0.667 0.333 0.500
Si: 0.333 0.667 0.500



No. 8
LiTi2Al: relaxed, PBEsol.

Output
**ΔH_f (0 K)**: 0.31 eV per atom
**Magnetization**: 0.001 μB/cell

a b c (Å): 5.632 5.632 5.632
angles (deg): 101.06 101.06 128.04
Fractional coordinates of all 8 atoms:
Li: 0.000 0.000 0.000
Li: 0.750 0.250 0.500
Ti: 0.114 0.125 0.489
Ti: 0.375 0.886 0.011
Ti: 0.636 0.625 0.511
Ti: 0.875 0.364 0.989
Al: 0.250 0.750 0.500
Al: 0.500 0.500 0.000